Material: NaCaWF6
Method: DFT, GGA+U
State: relaxed

```
NaCaWF6
1.0
5.9112 0.0000 0.0000
-2.9556 5.1193 0.0000
0.0000 0.0000 9.2735
F Ca W Na
12 2 2 2
direct
0.6613 0.6410 0.1342
0.3387 0.9797 0.6342
0.6613 0.0203 0.3658
0.6410 0.9797 0.8658
0.0203 0.6613 0.8658
0.9797 0.3387 0.1342
0.0203 0.3590 0.6342
0.3590 0.0203 0.1342
0.3590 0.3387 0.3658
0.6410 0.6613 0.6342
0.3387 0.3590 0.8658
0.9797 0.6410 0.3658
0.3333 0.6667 0.2500
0.6667 0.3333 0.7500
0.3333 0.6667 0.7500
0.6667 0.3333 0.2500
0.0000 0.0000 0.5000
0.0000 0.0000 0.0000
```

Calculated values
- crystal system = trigonal
- space group = No. 163
- VASP energy (Ry per atom) = -0.4027
- spin magnetization (μB/atom) = 0.3333